1.
The following is a DFT calculation (PBE-GGA) of crystalline Li2ScSnS4 at its relaxed geometry.

```
data_Li2ScSnS4
_space_group_name_H-M_alt 'P 1 2/m 1'
_space_group_IT_number 10
_space_group_name_Hall '-P 2y'
_cell_length_a 6.513
_cell_length_b 3.739
_cell_length_c 6.636
_cell_angle_alpha 90.00
_cell_angle_beta 110.02
_cell_angle_gamma 90.00
loop_
_atom_site_label
_atom_site_type_symbol
_atom_site_fract_x
_atom_site_fract_y
_atom_site_fract_z
_atom_site_occupancy
Li1 Li 0.000 0.000 0.000 1
Li2 Li 0.000 0.500 0.500 1
Sc1 Sc 0.500 0.000 0.500 1
Sn1 Sn 0.500 0.500 0.000 1
S1 S 0.251 0.000 0.736 1
S2 S 0.259 0.500 0.258 1
```

Results
Total energy   -5.070 eV per atom
Total magnetization   0.000 μB/cell
E_form (uncorrected)   -1236 meV/atom

---

2.
The following is a DFT calculation (PBE-GGA) of crystalline LiScSn2S4 at its relaxed geometry.

```
data_LiScSn2S4
_space_group_name_H-M_alt 'P 1 2/m 1'
_space_group_IT_number 10
_space_group_name_Hall '-P 2y'
_cell_length_a 6.698
_cell_length_b 3.904
_cell_length_c 6.924
_cell_angle_alpha 90.00
_cell_angle_beta 108.29
_cell_angle_gamma 90.00
loop_
_atom_site_label
_atom_site_type_symbol
_atom_site_fract_x
_atom_site_fract_y
_atom_site_fract_z
_atom_site_occupancy
Li1 Li 0.000 0.000 0.000 1
Sc1 Sc 0.500 0.500 0.000 1
Sn1 Sn 0.000 0.500 0.500 1
Sn2 Sn 0.500 0.000 0.500 1
S1 S 0.252 0.500 0.223 1
S2 S 0.266 0.000 0.781 1
```

Results
Total energy   -5.093 eV per atom
Total magnetization   0.000 μB/cell
E_form (uncorrected)   -998 meV/atom